# Sc2MoCl PBE optimized geometry
# distance to the lowest polymorph of the same formula = 1102 meV/atom
# VASP energy = -23.1 eV/f.u.
# formation energy from raw total energies = 0.554 eV per atom
data_Sc2MoCl
_chemical_formula_sum 'Sc8 Mo4 Cl4'
_symmetry_space_group_name_H-M 'F -4 3 m'
_symmetry_Int_Tables_number 216
_symmetry_space_group_name_Hall 'F -4 2 3'
_cell_length_a 6.7005
_cell_length_b 6.7005
_cell_length_c 6.7005
_cell_angle_alpha 90.00
_cell_angle_beta 90.00
_cell_angle_gamma 90.00
loop_
_atom_site_label
_atom_site_fract_x
_atom_site_fract_y
_atom_site_fract_z
Sc1 0.0000 0.0000 0.0000
Sc2 0.2500 0.2500 0.2500
Mo1 0.0000 0.0000 0.5000
Cl1 0.2500 0.2500 0.7500



# TbTmCd4 PBE optimized geometry
# distance to the lowest polymorph of the same formula = 4 meV/atom
# VASP energy = -14.2 eV/f.u.
# formation energy from the elements = -137.1 kJ/mol of formula units
data_TbTmCd4
_chemical_formula_sum 'Tb4 Tm4 Cd16'
_symmetry_space_group_name_H-M 'F -4 3 m'
_symmetry_Int_Tables_number 216
_symmetry_space_group_name_Hall 'F -4 2 3'
_cell_length_a 8.3332
_cell_length_b 8.3332
_cell_length_c 8.3332
_cell_angle_alpha 90.00
_cell_angle_beta 90.00
_cell_angle_gamma 90.00
loop_
_atom_site_label
_atom_site_fract_x
_atom_site_fract_y
_atom_site_fract_z
Tb1 0.0000 0.0000 0.0000
Tm1 0.2500 0.2500 0.7500
Cd1 0.1250 0.1250 0.3750



# Y4Ga2N PBE optimized geometry
# distance to the lowest polymorph of the same formula = 52 meV/atom
# VASP energy = -45.6 eV/f.u.
# formation energy from raw total energies = -0.764 eV per atom
data_Y4Ga2N
_chemical_formula_sum 'Y8 Ga4 N2'
_symmetry_space_group_name_H-M 'C 1 2/m 1'
_symmetry_Int_Tables_number 12
_symmetry_space_group_name_Hall '-C 2y'
_cell_length_a 14.7230
_cell_length_b 3.7021
_cell_length_c 5.9665
_cell_angle_alpha 90.00
_cell_angle_beta 102.59
_cell_angle_gamma 90.00
loop_
_atom_site_label
_atom_site_fract_x
_atom_site_fract_y
_atom_site_fract_z
Y1 0.0683 0.0000 0.2704
Y2 0.1360 0.5000 0.8428
Ga1 0.2401 0.5000 0.3462
N1 0.0000 0.5000 0.0000



# LiInSnIr PBE optimized geometry
# VASP energy = -18.8 eV/f.u.
# formation energy from the elements = -120.3 kJ/mol of formula units
data_LiInSnIr
_chemical_formula_sum 'Li4 In4 Sn4 Ir4'
_symmetry_space_group_name_H-M 'F -4 3 m'
_symmetry_Int_Tables_number 216
_symmetry_space_group_name_Hall 'F -4 2 3'
_cell_length_a 6.5607
_cell_length_b 6.5607
_cell_length_c 6.5607
_cell_angle_alpha 90.00
_cell_angle_beta 90.00
_cell_angle_gamma 90.00
loop_
_atom_site_label
_atom_site_fract_x
_atom_site_fract_y
_atom_site_fract_z
Li1 0.0000 0.0000 0.0000
In1 0.2500 0.2500 0.7500
Sn1 0.2500 0.2500 0.2500
Ir1 0.0000 0.0000 0.5000



# MgH4Ir3 PBE optimized geometry
# VASP energy = -41.9 eV/f.u.
data_MgH4Ir3
_chemical_formula_sum 'Mg1 H4 Ir3'
_symmetry_space_group_name_H-M 'P 1'
_symmetry_Int_Tables_number 1
_symmetry_space_group_name_Hall 'P 1'
_cell_length_a 2.8424
_cell_length_b 4.7480
_cell_length_c 6.5997
_cell_angle_alpha 103.03
_cell_angle_beta 90.20
_cell_angle_gamma 107.19
loop_
_atom_site_label
_atom_site_fract_x
_atom_site_fract_y
_atom_site_fract_z
Mg1 0.0000 0.0000 0.0000
H1 0.2347 0.4906 0.3972
H2 0.5721 0.1590 0.2801
H3 0.7572 0.5057 0.0376
H4 0.8923 0.7884 0.2757
Ir1 0.0542 0.1200 0.4351
Ir2 0.3758 0.7596 0.6402
Ir3 0.6798 0.3611 0.7882



# Sr2UAgS6 PBE optimized geometry
# VASP energy = -54.7 eV/f.u.
# formation energy from raw total energies = -1.243 eV per atom
data_Sr2UAgS6
_chemical_formula_sum 'Sr4 U2 Ag2 S12'
_symmetry_space_group_name_H-M 'C 1 2/m 1'
_symmetry_Int_Tables_number 12
_symmetry_space_group_name_Hall '-C 2y'
_cell_length_a 12.7041
_cell_length_b 6.8750
_cell_length_c 6.9888
_cell_angle_alpha 90.00
_cell_angle_beta 123.16
_cell_angle_gamma 90.00
loop_
_atom_site_label
_atom_site_fract_x
_atom_site_fract_y
_atom_site_fract_z
Sr1 0.2470 0.0000 0.2765
U1 0.0000 0.0000 0.5000
Ag1 0.0000 0.5000 0.0000
S1 0.0650 0.2553 0.3148
S2 0.2244 0.0000 0.8329



# TlSiF5 PBE optimized geometry
# VASP energy = -36.9 eV/f.u.
# formation energy from raw total energies = -2.816 eV per atom
data_TlSiF5
_chemical_formula_sum 'Tl2 Si2 F10'
_symmetry_space_group_name_H-M 'I m m 2'
_symmetry_Int_Tables_number 44
_symmetry_space_group_name_Hall 'I 2 -2'
_cell_length_a 6.4783
_cell_length_b 8.5628
_cell_length_c 4.9529
_cell_angle_alpha 90.00
_cell_angle_beta 90.00
_cell_angle_gamma 90.00
loop_
_atom_site_label
_atom_site_fract_x
_atom_site_fract_y
_atom_site_fract_z
Tl1 0.0000 0.0000 0.0000
Si1 0.0000 0.5000 0.9795
F1 0.0000 0.3299 0.1318
F2 0.0000 0.5000 0.6498
F3 0.2376 0.0000 0.4861



# V5Ge2 PBE optimized geometry
# VASP energy = -55.5 eV/f.u.
# formation energy from the elements = -61.6 kJ/mol of formula units
data_V5Ge2
_chemical_formula_sum 'V20 Ge8'
_symmetry_space_group_name_H-M 'C 1 2/c 1'
_symmetry_Int_Tables_number 15
_symmetry_space_group_name_Hall '-C 2yc'
_cell_length_a 13.1334
_cell_length_b 4.8799
_cell_length_c 6.2953
_cell_angle_alpha 90.00
_cell_angle_beta 92.36
_cell_angle_gamma 90.00
loop_
_atom_site_label
_atom_site_fract_x
_atom_site_fract_y
_atom_site_fract_z
V1 0.0000 0.1830 0.2500
V2 0.0947 0.3570 0.9392
V3 0.2305 0.1298 0.2793
Ge1 0.1071 0.1629 0.5729



# BaSr2Ag PBE optimized geometry
# distance to the lowest polymorph of the same formula = 200 meV/atom
# VASP energy = -8.0 eV/f.u.
# formation energy from the elements = 17.1 kJ/mol of formula units
data_BaSr2Ag
_chemical_formula_sum 'Ba1 Sr2 Ag1'
_symmetry_space_group_name_H-M 'P m m m'
_symmetry_Int_Tables_number 47
_symmetry_space_group_name_Hall '-P 2 2'
_cell_length_a 5.2337
_cell_length_b 5.4889
_cell_length_c 6.0418
_cell_angle_alpha 90.00
_cell_angle_beta 90.00
_cell_angle_gamma 90.00
loop_
_atom_site_label
_atom_site_fract_x
_atom_site_fract_y
_atom_site_fract_z
Ba1 0.0000 0.0000 0.0000
Sr1 0.0000 0.5000 0.5000
Sr2 0.5000 0.0000 0.5000
Ag1 0.5000 0.5000 0.0000



# NaCaBrF2 PBE optimized geometry
# distance to the lowest polymorph of the same formula = 0 meV/atom
# VASP energy = -23.2 eV/f.u.
# formation energy from raw total energies = -2.885 eV per atom
data_NaCaBrF2
_chemical_formula_sum 'Na2 Ca2 Br2 F4'
_symmetry_space_group_name_H-M 'I 4 m m'
_symmetry_Int_Tables_number 107
_symmetry_space_group_name_Hall 'I 4 -2'
_cell_length_a 3.9602
_cell_length_b 3.9602
_cell_length_c 12.4466
_cell_angle_alpha 90.00
_cell_angle_beta 90.00
_cell_angle_gamma 90.00
loop_
_atom_site_label
_atom_site_fract_x
_atom_site_fract_y
_atom_site_fract_z
Na1 0.0000 0.0000 0.0000
Ca1 0.0000 0.0000 0.6782
Br1 0.0000 0.0000 0.3273
F1 0.0000 0.5000 0.0934



# TlVCo3 PBE optimized geometry
# distance to the lowest polymorph of the same formula = 0 meV/atom
# VASP energy = -27.8 eV/f.u.
# formation energy from the elements = 485.3 kJ/mol of formula units
data_TlVCo3
_chemical_formula_sum 'Tl1 V1 Co3'
_symmetry_space_group_name_H-M 'P m -3 m'
_symmetry_Int_Tables_number 221
_symmetry_space_group_name_Hall '-P 4 2 3'
_cell_length_a 4.2863
_cell_length_b 4.2863
_cell_length_c 4.2863
_cell_angle_alpha 90.00
_cell_angle_beta 90.00
_cell_angle_gamma 90.00
loop_
_atom_site_label
_atom_site_fract_x
_atom_site_fract_y
_atom_site_fract_z
Tl1 0.0000 0.0000 0.0000
V1 0.5000 0.5000 0.5000
Co1 0.0000 0.5000 0.5000



# UPa2PN8 PBE optimized geometry
# VASP energy = -105.5 eV/f.u.
# formation energy from raw total energies = -0.270 eV per atom
data_UPa2PN8
_chemical_formula_sum 'U1 Pa2 P1 N8'
_symmetry_space_group_name_H-M 'P -3 m 1'
_symmetry_Int_Tables_number 164
_symmetry_space_group_name_Hall '-P 3 2"'
_cell_length_a 4.9381
_cell_length_b 4.9381
_cell_length_c 6.5258
_cell_angle_alpha 90.00
_cell_angle_beta 90.00
_cell_angle_gamma 120.00
loop_
_atom_site_label
_atom_site_fract_x
_atom_site_fract_y
_atom_site_fract_z
U1 0.0000 0.0000 0.0000
Pa1 0.3333 0.6667 0.3474
P1 0.0000 0.0000 0.5000
N1 0.1596 0.3192 0.6782
N2 0.3333 0.6667 0.0456